1.
## YCrPt3 (meta-GGA SCAN)

Data for YCrPt3 at its PBEsol-relaxed geometry.

Values from the calculation:
- total magnetic moment (μB/f.u.) = 0.0
- space-group type = No. 221
- DFT formation energy (kJ/mol of atoms) = -16.5

CIF file:
```
data_YCrPt3
_chemical_formula_sum 'Y1 Cr1 Pt3'
_cell_length_a 4.587
_cell_length_b 4.587
_cell_length_c 4.587
_cell_angle_alpha 90.00
_cell_angle_beta 90.00
_cell_angle_gamma 90.00
_symmetry_space_group_name_H-M 'P 1'
_symmetry_Int_Tables_number 1
loop_
_symmetry_equiv_pos_as_xyz
'x,y,z'
loop_
_atom_site_label
_atom_site_fract_x
_atom_site_fract_y
_atom_site_fract_z
_atom_site_occupancy
Y1 0.500 0.500 0.500 1
Cr1 0.000 0.000 0.000 1
Pt1 0.000 0.500 0.000 1
Pt2 0.000 0.000 0.500 1
Pt3 0.500 0.000 0.000 1
```



2.
## Rb3CrCo (meta-GGA SCAN)

Data for Rb3CrCo at its PBEsol-relaxed geometry.

Values from the calculation:
- total magnetic moment (μB/f.u.) = 8.0
- space-group type = No. 221
- DFT formation energy (kJ/mol of atoms) = 89.9

CIF file:
```
data_Rb3CrCo
_chemical_formula_sum 'Rb3 Cr1 Co1'
_cell_length_a 6.289
_cell_length_b 6.289
_cell_length_c 6.289
_cell_angle_alpha 90.00
_cell_angle_beta 90.00
_cell_angle_gamma 90.00
_symmetry_space_group_name_H-M 'P 1'
_symmetry_Int_Tables_number 1
loop_
_symmetry_equiv_pos_as_xyz
'x,y,z'
loop_
_atom_site_label
_atom_site_fract_x
_atom_site_fract_y
_atom_site_fract_z
_atom_site_occupancy
Cr1 0.500 0.500 0.500 1
Co1 0.000 0.000 0.000 1
Rb1 0.000 0.500 0.000 1
Rb2 0.000 0.000 0.500 1
Rb3 0.500 0.000 0.000 1
```



3.
## N (meta-GGA SCAN)

Data for N at its PBEsol-relaxed geometry.

Values from the calculation:
- formation energy without anion corrections (meV/atom) = 1
- total magnetic moment (μB/f.u.) = 0.0
- space-group type = No. 136
- relative energy among the computed polymorphs (meV per atom) = 1

CIF file:
```
data_N
_chemical_formula_sum 'N4'
_cell_length_a 4.007
_cell_length_b 4.007
_cell_length_c 5.580
_cell_angle_alpha 90.00
_cell_angle_beta 90.00
_cell_angle_gamma 90.00
_symmetry_space_group_name_H-M 'P 1'
_symmetry_Int_Tables_number 1
loop_
_symmetry_equiv_pos_as_xyz
'x,y,z'
loop_
_atom_site_label
_atom_site_fract_x
_atom_site_fract_y
_atom_site_fract_z
_atom_site_occupancy
N1 0.902 0.902 0.000 1
N2 0.598 0.402 0.500 1
N3 0.098 0.098 0.000 1
N4 0.402 0.598 0.500 1
```